# 1
VASP calculation (PBE-GGA) on a geometry-optimized AcLa4NdSm2 structure.

Cell lengths 6.4668, 6.4668, 10.6265 Å; angles 114.32, 114.32, 48.14 degrees
With the nearest neighbours (Å) after each atom.
Element x y z (fractional)
Ac: 0.0000 0.0000 0.0000  8 La 3.75-3.76, 4 Sm 3.78
La: 0.2473 0.2473 0.8706  1 Nd 3.70, 4 Sm 3.70-3.81, 4 La 3.73-3.79, 3 Ac 3.75
La: 0.2506 0.2506 0.3770  4 Sm 3.69-3.74, 4 La 3.72-3.73, 3 Nd 3.72-3.74, 1 Ac 3.76
La: 0.7494 0.7494 0.6230  4 Sm 3.69-3.74, 4 La 3.72-3.73, 3 Nd 3.72-3.74, 1 Ac 3.76
La: 0.7527 0.7527 0.1294  1 Nd 3.70, 4 Sm 3.70-3.81, 4 La 3.73-3.79, 3 Ac 3.75
Nd: 0.0000 0.0000 0.5000  8 La 3.70-3.74, 4 Sm 3.71
Sm: 0.4991 0.4991 0.2546  8 La 3.69-3.81, 2 Nd 3.71, 2 Ac 3.78
Sm: 0.5009 0.5009 0.7454  8 La 3.69-3.81, 2 Nd 3.71, 2 Ac 3.78

calculated formation energy = 0.025 eV per atom
spin magnetization = 0.00 Bohr magnetons per cell


# 2
VASP calculation (PBE-GGA) on a geometry-optimized Ac5La2NdSm structure.

Cell lengths 11.9975, 11.9975, 11.9975 Å; angles 138.38, 138.38, 60.32 degrees
With the nearest neighbours (Å) after each atom.
Element x y z (fractional)
Ac: 0.0000 0.0000 0.0000  4 La 3.39
Ac: 0.0875 0.5875 0.9510  1 La 3.41, 1 Sm 3.58, 2 Nd 3.82
Ac: 0.1365 0.0875 0.5000  1 La 3.41, 1 Sm 3.58, 2 Nd 3.82
Ac: 0.3635 0.8635 0.9510  1 La 3.41, 1 Sm 3.58, 2 Nd 3.82
Ac: 0.4125 0.3635 0.5000  1 La 3.41, 1 Sm 3.58, 2 Nd 3.82
Ac: 0.5000 0.5000 0.0000  4 La 3.39
Ac: 0.5875 0.6365 0.5000  1 La 3.41, 1 Sm 3.58, 2 Nd 3.82
Ac: 0.6365 0.1365 0.0490  1 La 3.41, 1 Sm 3.58, 2 Nd 3.82
Ac: 0.8635 0.9125 0.5000  1 La 3.41, 1 Sm 3.58, 2 Nd 3.82
Ac: 0.9125 0.4125 0.0490  1 La 3.41, 1 Sm 3.58, 2 Nd 3.82
La: 0.1209 0.3791 0.5000  1 La 2.91
La: 0.3791 0.8791 0.2582  1 La 2.91
La: 0.6209 0.1209 0.7418  1 La 2.91
La: 0.8791 0.6209 0.5000  1 La 2.91
Nd: 0.2500 0.2500 0.0000  8 Ac 3.82, 4 Sm 4.26
Nd: 0.7500 0.7500 0.0000  8 Ac 3.82, 4 Sm 4.26
Sm: 0.2500 0.7500 0.5000  4 Ac 3.58
Sm: 0.7500 0.2500 0.5000  4 Ac 3.58

calculated formation energy = 0.251 eV per atom
spin magnetization = 0.00 Bohr magnetons per cell


# 3
VASP calculation (PBE-GGA) on a geometry-optimized AcLaNd2Sm structure.

Cell lengths 8.1308, 7.2164, 6.4586 Å; angles 90.00, 92.34, 90.00 degrees
With the nearest neighbours (Å) after each atom.
Element x y z (fractional)
Ac: 0.0000 0.1666 0.2500  8 Nd 3.80-4.05, 2 Ac 4.03
Ac: 0.0000 0.8334 0.7500  8 Nd 3.80-4.05, 2 Ac 4.03
La: 0.5000 0.0000 0.0000  2 La 3.23, 2 Sm 3.33
La: 0.5000 0.0000 0.5000  2 La 3.23, 2 Sm 3.33
Nd: 0.2062 0.3220 0.7626  1 Sm 3.11, 1 Nd 3.35
Nd: 0.2062 0.6780 0.2626  1 Sm 3.11, 1 Nd 3.35
Nd: 0.7938 0.3220 0.7374  1 Sm 3.11, 1 Nd 3.35
Nd: 0.7938 0.6780 0.2374  1 Sm 3.11, 1 Nd 3.35
Sm: 0.5000 0.4039 0.2500  2 Nd 3.11, 2 La 3.33
Sm: 0.5000 0.5961 0.7500  2 Nd 3.11, 2 La 3.33

calculated formation energy = 0.220 eV per atom
spin magnetization = 0.00 Bohr magnetons per cell


Computed density of states at the Fermi level, in the same sequence as the records: 15.3; 14.8; 9.0 states/eV/f.u..